Record 1
Co2BW2 (PBE-GGA, relaxed); distance to the lowest polymorph of the same formula = 0.00 eV per formula unit; mass density = 13.7 g/cm³; energy of formation from the pure elements = 71 kJ/mol of formula units
1.0
-1.928 -4.225 -2.520
4.340 -2.736 1.266
-1.885 -1.308 3.636
B W Co
2 4 4
direct
0.500 0.500 0.000
0.000 0.000 0.000
0.823 0.323 0.500
0.177 0.677 0.500
0.323 0.177 0.500
0.677 0.823 0.500
0.845 0.655 0.000
0.345 0.845 0.000
0.155 0.345 0.000
0.655 0.155 0.000

---

Record 2
SrPm2Nd3Se6 (PBE-GGA, relaxed); mass density = 6.6 g/cm³; energy relative to the elements, uncorrected = -1.8557 eV per atom
1.0
7.346 -0.007 0.001
-3.677 6.360 0.001
-1.222 -2.117 6.956
Se Nd Sr Pm
6 3 1 2
direct
0.421 0.084 0.252
0.084 0.421 0.252
0.916 0.579 0.748
0.579 0.916 0.748
0.255 0.255 0.754
0.745 0.745 0.246
0.500 0.500 0.500
0.836 0.164 0.500
0.164 0.836 0.500
0.000 0.000 0.000
0.667 0.333 0.000
0.333 0.667 0.000

---

Record 3
Sr2GaIrC (PBE-GGA, relaxed); mass density = 6.4 g/cm³; energy of formation from the pure elements = -94 kJ/mol of formula units
1.0
-2.432 -4.908 -0.355
3.706 -1.566 -3.735
2.296 -1.343 2.841
Sr Ga Ir C
2 1 1 1
direct
0.500 0.000 0.000
0.000 0.500 0.000
0.500 0.500 0.500
0.000 0.000 0.500
0.000 0.000 0.000

---

Record 4
BaFe2Co (PBE-GGA, relaxed); distance to the lowest polymorph of the same formula = 3.26 eV per formula unit; mass density = 7.1 g/cm³; energy of formation from the pure elements = 441 kJ/mol of formula units
1.0
4.970 -0.205 0.000
-1.925 4.586 0.000
0.000 0.000 3.219
Ba Fe Co
1 2 1
direct
0.500 0.000 0.500
0.500 0.500 0.000
0.000 0.000 0.000
0.000 0.500 0.500

---

Record 5
SrLi2AcBr8 (PBE-GGA, relaxed); mass density = 3.4 g/cm³; energy relative to the elements, uncorrected = -1.5494 eV per atom
1.0
-3.184 -6.389 3.740
2.703 -0.690 -7.560
7.674 -2.106 2.936
Br Ac Li Sr
8 1 2 1
direct
0.161 0.321 0.751
0.160 0.839 0.751
0.321 0.160 0.249
0.840 0.161 0.249
0.333 0.667 0.149
0.679 0.840 0.751
0.667 0.333 0.851
0.839 0.679 0.249
0.000 0.000 0.000
0.333 0.667 0.860
0.667 0.333 0.140
0.000 0.000 0.500

---

Record 6
SiNi2Ir (PBE-GGA, relaxed); mass density = 11.7 g/cm³; energy relative to the elements, uncorrected = -0.4250 eV per atom
1.0
-2.984 -3.780 1.686
3.760 -2.606 2.259
-0.981 5.062 1.170
Ir Ni Si
2 4 2
direct
0.798 0.202 0.000
0.202 0.798 0.000
0.289 0.289 0.000
0.250 0.750 0.500
0.750 0.250 0.500
0.711 0.711 0.000
0.730 0.730 0.460
0.270 0.270 0.540

---

Record 7
K2UCd2O6 (PBE-GGA, relaxed); mass density = 5.5 g/cm³; energy relative to the elements, uncorrected = -1.9877 eV per atom
1.0
5.825 0.078 -0.011
-2.811 5.103 -0.011
-1.148 -1.974 6.375
Cd O K U
2 6 2 1
direct
0.663 0.337 0.500
0.337 0.663 0.500
0.363 0.057 0.689
0.057 0.363 0.689
0.770 0.770 0.682
0.230 0.230 0.318
0.943 0.637 0.311
0.637 0.943 0.311
0.178 0.822 0.000
0.822 0.178 0.000
0.000 0.000 0.500

---

Record 8
Sr2SnAu6 (PBE-GGA, relaxed); mass density = 11.1 g/cm³; energy of formation from the pure elements = -461 kJ/mol of formula units
1.0
5.879 0.004 3.395
1.959 5.543 3.395
0.004 0.003 6.787
Sr Au Sn
2 6 1
direct
0.750 0.750 0.750
0.250 0.250 0.250
0.215 0.785 0.214
0.785 0.215 0.214
0.215 0.785 0.786
0.215 0.215 0.785
0.785 0.215 0.786
0.785 0.785 0.215
0.500 0.500 0.500

---

Repeat the fourth record exactly.
BaFe2Co (PBE-GGA, relaxed); distance to the lowest polymorph of the same formula = 3.26 eV per formula unit; mass density = 7.1 g/cm³; energy of formation from the pure elements = 441 kJ/mol of formula units
1.0
4.970 -0.205 0.000
-1.925 4.586 0.000
0.000 0.000 3.219
Ba Fe Co
1 2 1
direct
0.500 0.000 0.500
0.500 0.500 0.000
0.000 0.000 0.000
0.000 0.500 0.500

---

Copy entry 6 word for word.
SiNi2Ir (PBE-GGA, relaxed); mass density = 11.7 g/cm³; energy relative to the elements, uncorrected = -0.4250 eV per atom
1.0
-2.984 -3.780 1.686
3.760 -2.606 2.259
-0.981 5.062 1.170
Ir Ni Si
2 4 2
direct
0.798 0.202 0.000
0.202 0.798 0.000
0.289 0.289 0.000
0.250 0.750 0.500
0.750 0.250 0.500
0.711 0.711 0.000
0.730 0.730 0.460
0.270 0.270 0.540

---

Copy entry 7 word for word.
K2UCd2O6 (PBE-GGA, relaxed); mass density = 5.5 g/cm³; energy relative to the elements, uncorrected = -1.9877 eV per atom
1.0
5.825 0.078 -0.011
-2.811 5.103 -0.011
-1.148 -1.974 6.375
Cd O K U
2 6 2 1
direct
0.663 0.337 0.500
0.337 0.663 0.500
0.363 0.057 0.689
0.057 0.363 0.689
0.770 0.770 0.682
0.230 0.230 0.318
0.943 0.637 0.311
0.637 0.943 0.311
0.178 0.822 0.000
0.822 0.178 0.000
0.000 0.000 0.500

---

Question: Among the records above, which one has the lowest mass density?
Answer: SrLi2AcBr8